1.
# Cs2NaPtF6

A geometry-optimized Cs2NaPtF6 structure (PBE, Alexandria via LeMat-Bulk).

Cell and atoms, written as CIF:
```
data_Cs2NaPtF6
_cell_length_a 6.4191
_cell_length_b 6.4191
_cell_length_c 5.8286
_cell_angle_alpha 90.00
_cell_angle_beta 90.00
_cell_angle_gamma 120.00
_symmetry_space_group_name_H-M 'P -3 m 1'
_symmetry_Int_Tables_number 164
_symmetry_space_group_name_Hall '-P 3 2"'
loop_
_atom_site_label
_atom_site_type_symbol
_atom_site_fract_x
_atom_site_fract_y
_atom_site_fract_z
_atom_site_occupancy
Cs1 Cs 0.3333 0.6667 0.2109 1
Na1 Na 0.0000 0.0000 0.5000 1
Pt1 Pt 0.0000 0.0000 0.0000 1
F1 F 0.1493 0.2986 0.7787 1
```

Calculated values
The value obtained for the magnetic moment is 1.00 μB/f.u. For the density of states at the Fermi level, the calculation gives 6.5 states/eV/cell. The formation energy without anion corrections is -2.156 eV per atom. As for the total energy: -4.185 eV/atom.

***

2.
# TlFeBAu2

A geometry-optimized TlFeBAu2 structure (PBE, Alexandria via LeMat-Bulk).

Cell and atoms, written as CIF:
```
data_TlFeBAu2
_cell_length_a 5.349
_cell_length_b 5.349
_cell_length_c 4.152
_cell_angle_alpha 90.00
_cell_angle_beta 90.00
_cell_angle_gamma 90.00
_symmetry_space_group_name_H-M 'P 4/m m m'
_symmetry_Int_Tables_number 123
_symmetry_space_group_name_Hall '-P 4 2'
loop_
_atom_site_label
_atom_site_type_symbol
_atom_site_fract_x
_atom_site_fract_y
_atom_site_fract_z
_atom_site_occupancy
Tl1 Tl 0.000 0.000 0.000 1
Fe1 Fe 0.500 0.500 0.500 1
B1 B 0.000 0.000 0.500 1
Au1 Au 0.000 0.500 0.000 1
```

Calculated values
The value obtained for the magnetic moment is 3.49 μB/f.u. For the density of states at the Fermi level, the calculation gives 6.4 states/eV/cell. For the formation enthalpy at 0 K, the calculation gives 1653 meV per atom. As for the total energy: -3.159 eV/atom.

***

3.
# V3GeRu4

A geometry-optimized V3GeRu4 structure (PBE, Alexandria via LeMat-Bulk).

Cell and atoms, written as CIF:
```
data_V3GeRu4
_cell_length_a 3.017
_cell_length_b 4.252
_cell_length_c 8.528
_cell_angle_alpha 90.00
_cell_angle_beta 90.00
_cell_angle_gamma 90.00
_symmetry_space_group_name_H-M 'P m m m'
_symmetry_Int_Tables_number 47
_symmetry_space_group_name_Hall '-P 2 2'
loop_
_atom_site_label
_atom_site_type_symbol
_atom_site_fract_x
_atom_site_fract_y
_atom_site_fract_z
_atom_site_occupancy
V1 V 0.000 0.000 0.000 1
V2 V 0.000 0.500 0.243 1
Ge1 Ge 0.000 0.000 0.500 1
Ru1 Ru 0.500 0.000 0.254 1
Ru2 Ru 0.500 0.500 0.000 1
Ru3 Ru 0.500 0.500 0.500 1
```

Calculated values
The value obtained for the magnetic moment is 1.38 μB/f.u. For the density of states at the Fermi level, the calculation gives 8.1 states/eV/cell. For the formation enthalpy at 0 K, the calculation gives -283 meV per atom. As for the total energy: -8.917 eV/atom.

***

4.
# TmPa2PbO8

A geometry-optimized TmPa2PbO8 structure (PBE, Alexandria via LeMat-Bulk).

Cell and atoms, written as CIF:
```
data_TmPa2PbO8
_cell_length_a 5.431
_cell_length_b 5.431
_cell_length_c 10.839
_cell_angle_alpha 90.00
_cell_angle_beta 90.00
_cell_angle_gamma 90.00
_symmetry_space_group_name_H-M 'I -4 m 2'
_symmetry_Int_Tables_number 119
_symmetry_space_group_name_Hall 'I -4 -2'
loop_
_atom_site_label
_atom_site_type_symbol
_atom_site_fract_x
_atom_site_fract_y
_atom_site_fract_z
_atom_site_occupancy
Tm1 Tm 0.000 0.000 0.000 1
Pa1 Pa 0.000 0.000 0.500 1
Pa2 Pa 0.000 0.500 0.750 1
Pb1 Pb 0.000 0.500 0.250 1
O1 O 0.236 0.257 0.622 1
```

Calculated values
The value obtained for the magnetic moment is 0.00 μB/f.u. For the density of states at the Fermi level, the calculation gives 3.0 states/eV/cell. The formation energy without anion corrections is -3.088 eV per atom. As for the total energy: -8.658 eV/atom.

***

5.
# Li2SnSe3

A geometry-optimized Li2SnSe3 structure (PBE, Alexandria via LeMat-Bulk).

Cell and atoms, written as CIF:
```
data_Li2SnSe3
_cell_length_a 12.744
_cell_length_b 7.315
_cell_length_c 6.829
_cell_angle_alpha 90.00
_cell_angle_beta 90.00
_cell_angle_gamma 90.00
_symmetry_space_group_name_H-M 'C m c 21'
_symmetry_Int_Tables_number 36
_symmetry_space_group_name_Hall 'C 2c -2'
loop_
_atom_site_label
_atom_site_type_symbol
_atom_site_fract_x
_atom_site_fract_y
_atom_site_fract_z
_atom_site_occupancy
Li1 Li 0.169 0.158 0.000 1
Sn1 Sn 0.000 0.324 0.519 1
Se1 Se 0.000 0.331 0.129 1
Se2 Se 0.167 0.173 0.625 1
```

Calculated values
The calculation puts the energy above the lowest structure with this stoichiometry at 0.007 eV/atom. The value obtained for the magnetic moment is 0.00 μB/f.u. The formation energy without anion corrections is -0.828 eV per atom. As for the total energy: -3.875 eV/atom.

***

6.
# Cr2FeH6

A geometry-optimized Cr2FeH6 structure (PBE, Alexandria via LeMat-Bulk).

Cell and atoms, written as CIF:
```
data_Cr2FeH6
_cell_length_a 2.902
_cell_length_b 4.127
_cell_length_c 8.866
_cell_angle_alpha 90.00
_cell_angle_beta 90.00
_cell_angle_gamma 90.00
_symmetry_space_group_name_H-M 'I m m m'
_symmetry_Int_Tables_number 71
_symmetry_space_group_name_Hall '-I 2 2'
loop_
_atom_site_label
_atom_site_type_symbol
_atom_site_fract_x
_atom_site_fract_y
_atom_site_fract_z
_atom_site_occupancy
Cr1 Cr 0.000 0.000 0.165 1
Fe1 Fe 0.000 0.000 0.500 1
H1 H 0.000 0.244 0.336 1
H2 H 0.000 0.256 0.000 1
```

Calculated values
The value obtained for the magnetic moment is 5.83 μB/f.u. For the density of states at the Fermi level, the calculation gives 12.7 states/eV/cell. As for the total energy: -5.255 eV/atom.

***

7.
# NaAcNdHo

A geometry-optimized NaAcNdHo structure (PBE, Alexandria via LeMat-Bulk).

Cell and atoms, written as CIF:
```
data_NaAcNdHo
_cell_length_a 8.339
_cell_length_b 8.339
_cell_length_c 8.339
_cell_angle_alpha 90.00
_cell_angle_beta 90.00
_cell_angle_gamma 90.00
_symmetry_space_group_name_H-M 'F -4 3 m'
_symmetry_Int_Tables_number 216
_symmetry_space_group_name_Hall 'F -4 2 3'
loop_
_atom_site_label
_atom_site_type_symbol
_atom_site_fract_x
_atom_site_fract_y
_atom_site_fract_z
_atom_site_occupancy
Na1 Na 0.000 0.000 0.000 1
Ac1 Ac 0.250 0.250 0.750 1
Nd1 Nd 0.250 0.250 0.250 1
Ho1 Ho 0.000 0.000 0.500 1
```

Calculated values
The value obtained for the magnetic moment is 0.00 μB/f.u. For the density of states at the Fermi level, the calculation gives 21.7 states/eV/cell. For the formation enthalpy at 0 K, the calculation gives 244 meV per atom. As for the total energy: -3.449 eV/atom.

***

8.
# LaCd2Pt

A geometry-optimized LaCd2Pt structure (PBE, Alexandria via LeMat-Bulk).

Cell and atoms, written as CIF:
```
data_LaCd2Pt
_cell_length_a 7.143
_cell_length_b 7.143
_cell_length_c 7.143
_cell_angle_alpha 90.00
_cell_angle_beta 90.00
_cell_angle_gamma 90.00
_symmetry_space_group_name_H-M 'F m -3 m'
_symmetry_Int_Tables_number 225
_symmetry_space_group_name_Hall '-F 4 2 3'
loop_
_atom_site_label
_atom_site_type_symbol
_atom_site_fract_x
_atom_site_fract_y
_atom_site_fract_z
_atom_site_occupancy
La1 La 0.000 0.000 0.000 1
Cd1 Cd 0.250 0.250 0.250 1
Pt1 Pt 0.000 0.000 0.500 1
```

Calculated values
The value obtained for the magnetic moment is 0.00 μB/f.u. For the density of states at the Fermi level, the calculation gives 14.3 states/eV/cell. For the formation enthalpy at 0 K, the calculation gives -388 meV per atom. As for the total energy: -3.588 eV/atom.